Here is a relaxed AlGaMoSe2 crystal from Alexandria via LeMat-Bulk. Energies are from PBE.

## Properties
As for the space group: No. 123. The value obtained for the magnetization is 0.8476 μB/atom. As for the raw formation energy: 738 meV/atom.

a = 5.023 Å, b = 5.023 Å, c = 4.716 Å
α = 90.00°, β = 90.00°, γ = 90.00°
Sites, in units of the cell vectors:
1 Al 0.000 0.000 0.000
2 Ga 0.000 0.000 0.500
3 Mo 0.500 0.500 0.500
4 Se 0.000 0.500 0.000
5 Se 0.500 0.000 0.000

---

Here is a relaxed KCa2YC crystal from Alexandria via LeMat-Bulk. Energies are from PBE.

## Properties
As for the space group: No. 123. The calculated formation energy comes out at 765.0 meV/atom. The value obtained for the magnetization is 0.0010 μB/atom.

a = 5.185 Å, b = 5.185 Å, c = 5.914 Å
α = 90.00°, β = 90.00°, γ = 90.00°
Sites, in units of the cell vectors:
1 K 0.000 0.000 0.000
2 Ca 0.000 0.500 0.500
3 Ca 0.500 0.000 0.500
4 Y 0.500 0.500 0.000
5 C 0.000 0.000 0.500